(i)
3
Lattice="0.000 3.275 3.275 3.275 0.000 3.275 3.275 3.275 0.000" Properties=species:S:1:pos:R:3 comment="PBE-GGA RbCoNi, relaxed" magnetic_moment_mub_per_atom=0.8772 mass_density_g_cm3=4.8 pbc="T T T"
Rb 0.000 0.000 0.000
Co 3.275 3.275 3.275
Ni 4.912 4.912 4.912



(ii)
3
Lattice="0.000 3.241 3.241 3.241 0.000 3.241 3.241 3.241 0.000" Properties=species:S:1:pos:R:3 comment="PBE-GGA RbCoNi, relaxed" magnetic_moment_mub_per_atom=0.7658 mass_density_g_cm3=5.0 pbc="T T T"
Rb 0.000 0.000 0.000
Co 4.862 4.862 4.862
Ni 3.241 3.241 3.241



Which one sits at the top of the stability order? (i) does.



(i)
8
Lattice="4.165 0.000 0.000 0.000 2.615 4.520 0.000 -2.615 4.520" Properties=species:S:1:pos:R:3 comment="PBE-GGA Co3Re3Ni2, relaxed" magnetic_moment_mub_per_atom=0.5535 mass_density_g_cm3=14.4 pbc="T T T"
Co 0.000 0.000 0.000
Co 2.082 -1.317 5.241
Co 2.082 1.317 5.241
Re 0.000 -1.292 6.734
Re 0.000 1.292 6.734
Re 2.082 0.000 3.069
Ni 0.000 0.000 4.569
Ni 2.082 0.000 7.588



(ii)
8
Lattice="5.230 0.000 0.000 -2.615 4.529 0.000 0.000 0.000 4.131" Properties=species:S:1:pos:R:3 comment="PBE-GGA Co3Re3Ni2, relaxed" magnetic_moment_mub_per_atom=0.3363 mass_density_g_cm3=14.5 pbc="T T T"
Co 0.000 1.547 0.000
Co -1.275 3.756 0.000
Co 1.275 3.756 0.000
Re 1.301 0.751 2.065
Re 3.928 0.751 2.065
Re 2.615 3.027 2.065
Ni 0.000 3.019 2.065
Ni 2.615 1.510 0.000



Which one sits at the top of the stability order? (i) does.



(i)
4
Lattice="0.000 2.906 2.906 2.906 0.000 2.906 2.906 2.906 0.000" Properties=species:S:1:pos:R:3 comment="PBE-GGA ZnCoReNi, relaxed" magnetic_moment_mub_per_atom=0.0665 mass_density_g_cm3=12.5 pbc="T T T"
Zn 0.000 0.000 0.000
Co 1.453 1.453 1.453
Re 4.359 4.359 4.359
Ni 2.906 2.906 2.906



(ii)
4
Lattice="0.000 2.909 2.909 2.909 0.000 2.909 2.909 2.909 0.000" Properties=species:S:1:pos:R:3 comment="PBE-GGA ZnCoReNi, relaxed" magnetic_moment_mub_per_atom=0.0194 mass_density_g_cm3=12.5 pbc="T T T"
Zn 0.000 0.000 0.000
Co 1.455 1.455 1.455
Re 2.909 2.909 2.909
Ni 4.364 4.364 4.364



Which one sits at the top of the stability order? (ii) does.



(i)
12
Lattice="1.701 -6.104 0.000 1.701 6.104 0.000 0.000 0.000 9.491" Properties=species:S:1:pos:R:3 comment="PBE-GGA CoNiSnS3, relaxed" magnetic_moment_mub_per_atom=0.0009 mass_density_g_cm3=5.6 pbc="T T T"
Co 0.000 0.000 0.000
Co 0.000 0.000 4.746
Ni 1.701 1.533 7.118
Ni 1.701 -1.533 2.373
Sn 1.701 2.570 2.373
Sn 1.701 -2.570 7.118
S 1.701 6.015 7.118
S 1.701 1.473 4.885
S 1.701 1.473 9.352
S 1.701 -1.473 0.139
S 1.701 -1.473 4.607
S 1.701 -6.015 2.373



(ii)
12
Lattice="1.779 -6.575 0.000 1.779 6.575 0.000 0.000 0.000 8.571" Properties=species:S:1:pos:R:3 comment="PBE-GGA CoNiSnS3, relaxed" magnetic_moment_mub_per_atom=0.0099 mass_density_g_cm3=5.5 pbc="T T T"
Co 1.779 6.262 6.428
Co 1.779 -6.262 2.143
Ni 1.779 0.000 0.000
Ni 1.779 0.000 4.285
Sn 1.779 3.183 2.143
Sn 1.779 -3.183 6.428
S 1.779 4.859 4.789
S 1.779 4.859 8.067
S 1.779 0.891 6.428
S 1.779 -0.891 2.143
S 1.779 -4.859 0.504
S 1.779 -4.859 3.782



Which one sits at the top of the stability order? (i) does.



(i)
12
Lattice="1.818 -6.279 0.000 1.818 6.279 0.000 0.000 0.000 9.105" Properties=species:S:1:pos:R:3 comment="PBE-GGA SrCoNiS3, relaxed" magnetic_moment_mub_per_atom=0.0853 mass_density_g_cm3=4.8 pbc="T T T"
Sr 1.818 3.179 6.829
Sr 1.818 -3.179 2.276
Co 0.000 0.000 0.000
Co 0.000 0.000 4.552
Ni 1.818 0.386 2.276
Ni 1.818 -0.386 6.829
S 1.818 5.462 2.276
S 1.818 1.514 0.376
S 1.818 1.514 4.176
S 1.818 -1.514 4.929
S 1.818 -1.514 8.729
S 1.818 -5.462 6.829



(ii)
12
Lattice="1.861 -6.332 0.000 1.861 6.332 0.000 0.000 0.000 9.053" Properties=species:S:1:pos:R:3 comment="PBE-GGA SrCoNiS3, relaxed" magnetic_moment_mub_per_atom=0.2267 mass_density_g_cm3=4.7 pbc="T T T"
Sr 1.861 3.185 6.790
Sr 1.861 -3.185 2.263
Co 1.861 5.960 2.263
Co 1.861 -5.960 6.790
Ni 1.861 0.000 0.000
Ni 1.861 0.000 4.526
S 1.861 4.726 0.428
S 1.861 4.726 4.099
S 1.861 0.760 2.263
S 1.861 -0.760 6.790
S 1.861 -4.726 4.954
S 1.861 -4.726 8.625



Which one sits at the top of the stability order? (i) does.



(i)
4
Lattice="0.000 3.082 3.082 3.082 0.000 3.082 3.082 3.082 0.000" Properties=species:S:1:pos:R:3 comment="PBE-GGA TaCoNiSb, relaxed" magnetic_moment_mub_per_atom=0.0018 mass_density_g_cm3=11.9 pbc="T T T"
Ta 0.000 0.000 0.000
Co 4.623 4.623 4.623
Ni 1.541 1.541 1.541
Sb 3.082 3.082 3.082



(ii)
4
Lattice="0.000 3.116 3.116 3.116 0.000 3.116 3.116 3.116 0.000" Properties=species:S:1:pos:R:3 comment="PBE-GGA TaCoNiSb, relaxed" magnetic_moment_mub_per_atom=0.0118 mass_density_g_cm3=11.5 pbc="T T T"
Ta 0.000 0.000 0.000
Co 4.674 4.674 4.674
Ni 3.116 3.116 3.116
Sb 1.558 1.558 1.558



Which one sits at the top of the stability order? (i) does.